Record 1
# Ca2NdCu

A geometry-optimized Ca2NdCu structure (PBE-GGA, Alexandria via LeMat-Bulk).

```
Ca2NdCu
1.0
3.814 0.000 0.000
0.000 12.698 0.000
0.000 0.000 10.400
Ca Nd Cu
8 4 4
direct
0.000 0.138 0.067 Ca
0.000 0.138 0.433 Ca
0.000 0.862 0.567 Ca
0.000 0.862 0.933 Ca
0.500 0.362 0.567 Ca
0.500 0.362 0.933 Ca
0.500 0.638 0.067 Ca
0.500 0.638 0.433 Ca
0.000 0.418 0.250 Nd
0.000 0.582 0.750 Nd
0.500 0.082 0.750 Nd
0.500 0.918 0.250 Nd
0.000 0.250 0.750 Cu
0.000 0.750 0.250 Cu
0.500 0.250 0.250 Cu
0.500 0.750 0.750 Cu
```

- Energy: -3.23 eV per atom
- Energy above the lowest structure with this stoichiometry: 0 meV per atom
- DFT formation energy: -0.02 eV per atom

=====

Record 2
# Tb7Sm3Y

A geometry-optimized Tb7Sm3Y structure (PBE-GGA, Alexandria via LeMat-Bulk).

```
Tb7Sm3Y
1.0
7.006 0.000 0.000
0.000 5.563 0.000
-3.481 0.000 9.380
Tb Sm Y
7 3 1
direct
0.000 0.000 0.000 Tb
0.145 0.500 0.290 Tb
0.321 0.500 0.639 Tb
0.416 0.000 0.830 Tb
0.584 0.000 0.170 Tb
0.679 0.500 0.361 Tb
0.855 0.500 0.710 Tb
0.000 0.000 0.500 Sm
0.282 0.500 0.999 Sm
0.718 0.500 0.001 Sm
0.500 0.000 0.500 Y
```

- Energy: -4.68 eV per atom
- Energy above the lowest structure with this stoichiometry: 0 meV per atom
- DFT formation energy: 0.14 eV per atom

=====

Record 3
# KAgRuC2

A geometry-optimized KAgRuC2 structure (PBE-GGA, Alexandria via LeMat-Bulk).

```
KAgRuC2
1.0
4.020 0.000 0.000
0.000 4.020 0.000
0.000 0.000 6.134
K Ag Ru C
1 1 1 2
direct
0.000 0.000 0.000 K
0.500 0.500 0.000 Ag
0.000 0.000 0.500 Ru
0.000 0.500 0.500 C
0.500 0.000 0.500 C
```

- Energy: -4.69 eV per atom
- Energy above the lowest structure with this stoichiometry: 0 meV per atom
- DFT formation energy: 1.65 eV per atom

=====

Record 4
# SrAgSbI2

A geometry-optimized SrAgSbI2 structure (PBE-GGA, Alexandria via LeMat-Bulk).

```
SrAgSbI2
1.0
5.760 0.000 0.000
0.000 5.760 0.000
0.000 0.000 5.558
Sr Ag Sb I
1 1 1 2
direct
0.000 0.000 0.000 Sr
0.500 0.500 0.500 Ag
0.500 0.500 0.000 Sb
0.000 0.500 0.500 I
0.500 0.000 0.500 I
```

- ΔE_f (raw): -306 meV/atom
- Energy: -2.66 eV per atom
- Energy above the lowest structure with this stoichiometry: 0 meV per atom

=====

Record 5
# CeZnHg

A geometry-optimized CeZnHg structure (PBE-GGA, Alexandria via LeMat-Bulk).

```
CeZnHg
1.0
6.636 0.000 0.000
0.000 4.884 0.000
0.000 0.000 8.443
Ce Zn Hg
4 4 4
direct
0.000 0.250 0.250 Ce
0.000 0.750 0.750 Ce
0.500 0.250 0.250 Ce
0.500 0.750 0.750 Ce
0.249 0.250 0.583 Zn
0.251 0.750 0.083 Zn
0.749 0.250 0.917 Zn
0.751 0.750 0.417 Zn
0.249 0.750 0.417 Hg
0.251 0.250 0.917 Hg
0.749 0.750 0.083 Hg
0.751 0.250 0.583 Hg
```

- Energy: -2.83 eV per atom
- DFT formation energy: -0.32 eV per atom

=====

Record 6
# SrIn2IrO8

A geometry-optimized SrIn2IrO8 structure (PBE-GGA, Alexandria via LeMat-Bulk).

```
SrIn2IrO8
1.0
4.697 0.000 0.000
0.000 6.944 0.000
-0.075 0.000 4.961
Sr In Ir O
1 2 1 8
direct
0.000 0.000 0.000 Sr
0.500 0.260 0.500 In
0.500 0.740 0.500 In
0.000 0.500 0.000 Ir
0.237 0.303 0.859 O
0.237 0.697 0.859 O
0.243 0.500 0.327 O
0.244 0.000 0.455 O
0.756 0.000 0.545 O
0.757 0.500 0.673 O
0.763 0.303 0.141 O
0.763 0.697 0.141 O
```

- ΔE_f (raw): -1188 meV/atom
- Energy: -5.83 eV per atom